Below is crystalline Ac3GeSb2Rh9 at its relaxed geometry, with properties calculated at the PBE level.

```
Ac3GeSb2Rh9
1.0
6.8465 0.0000 0.0000
-3.4233 5.9293 0.0000
0.0000 0.0000 8.4000
Ac Ge Sb Rh
3 1 2 9
Direct
0.0000 0.0000 0.0000 Ac
0.3333 0.6667 0.6997 Ac
0.6667 0.3333 0.3003 Ac
0.0000 0.0000 0.5000 Ge
0.3333 0.6667 0.2035 Sb
0.6667 0.3333 0.7965 Sb
0.0000 0.5000 0.0000 Rh
0.1336 0.2672 0.2816 Rh
0.1336 0.8664 0.2816 Rh
0.2672 0.1336 0.7184 Rh
0.5000 0.0000 0.0000 Rh
0.5000 0.5000 0.0000 Rh
0.7328 0.8664 0.2816 Rh
0.8664 0.1336 0.7184 Rh
0.8664 0.7328 0.7184 Rh
```

Results
- Formation energy from raw total energies: -348 meV/atom
- Raw total energy: -6.44 eV per atom
- Size of the total moment: 0.00 μB/f.u.


Below is crystalline CsHoTl2Cl6 at its relaxed geometry, with properties calculated at the PBE level.

```
CsHoTl2Cl6
1.0
7.9608 0.0000 0.0000
3.9800 6.9016 0.0000
3.9802 2.2998 6.8685
Cs Ho Tl Cl
1 1 2 6
Direct
0.0000 0.0000 0.0000 Cs
0.5139 0.5138 0.4582 Ho
0.2054 0.2048 0.3843 Tl
0.7178 0.7173 0.8468 Tl
0.1796 0.7378 0.6626 Cl
0.3421 0.5830 0.2125 Cl
0.4200 0.1793 0.6624 Cl
0.5832 0.8617 0.2123 Cl
0.7386 0.4197 0.6622 Cl
0.8619 0.3426 0.2121 Cl
```

Results
- Formation energy from raw total energies: -1752 meV/atom
- Raw total energy: -3.88 eV per atom
- Size of the total moment: 0.00 μB/f.u.


Below is crystalline Zn6Ni5Ru at its relaxed geometry, with properties calculated at the PBE level.

```
Zn6Ni5Ru
1.0
2.0427 -6.1199 0.0000
2.0427 6.1199 0.0000
0.0000 0.0000 5.9569
Zn Ni Ru
6 5 1
Direct
0.0000 0.0000 0.2413 Zn
0.0000 0.0000 0.7587 Zn
0.3306 0.6694 0.2472 Zn
0.3306 0.6694 0.7528 Zn
0.6694 0.3306 0.2472 Zn
0.6694 0.3306 0.7528 Zn
0.1667 0.8333 0.5000 Ni
0.1677 0.8323 0.0000 Ni
0.5000 0.5000 0.0000 Ni
0.8323 0.1677 0.0000 Ni
0.8333 0.1667 0.5000 Ni
0.5000 0.5000 0.5000 Ru
```

Results
- Raw total energy: -4.02 eV per atom
- Size of the total moment: 0.00 μB/f.u.